(1)
First-principles (PBE-GGA) data for La2FeRe after structural relaxation, as listed in Alexandria.

The structure in POSCAR format:
```
La2FeRe
1.0
7.842 0.000 0.000
0.000 7.842 0.000
3.921 3.921 3.049
Re La Fe
2 4 2
Cartesian
0.000 0.000 0.000
7.842 3.921 1.524
1.910 5.881 0.762
9.802 9.852 2.287
5.932 1.960 0.762
5.881 5.831 2.287
3.921 7.842 1.524
3.921 3.921 0.000
```

Results
The calculated volume comes out at 23.44 A^3/atom. For the energy above the lowest structure with this stoichiometry, the calculation gives 2.01 eV per formula unit. For the density of states at the Fermi level, the calculation gives 1.6559 states/eV per atom. For the formation energy, the calculation gives 18.21 kcal/mol of atoms.

(2)
First-principles (PBE-GGA) data for LaFeRe2 after structural relaxation, as listed in Alexandria.

The structure in POSCAR format:
```
LaFeRe2
1.0
5.127 -0.023 -0.083
-2.301 5.061 0.063
0.525 0.756 2.679
Fe Re La
1 2 1
Cartesian
-0.888 2.908 1.371
0.000 0.000 0.000
2.826 0.366 1.298
1.413 2.519 -0.010
```

Results
The calculated volume comes out at 17.37 A^3/atom. For the energy above the lowest structure with this stoichiometry, the calculation gives 1.80 eV per formula unit. For the density of states at the Fermi level, the calculation gives 1.0232 states/eV per atom. For the formation energy, the calculation gives 15.73 kcal/mol of atoms.

(3)
First-principles (PBE-GGA) data for LaFeRe after structural relaxation, as listed in Alexandria.

The structure in POSCAR format:
```
LaFeRe
1.0
3.932 0.000 0.000
-1.966 3.405 0.000
0.000 0.000 14.983
Re Fe La
3 3 3
Cartesian
0.000 2.270 6.249
1.966 1.135 1.255
0.000 0.000 11.244
0.000 0.000 6.624
0.000 2.270 1.630
1.966 1.135 11.619
0.000 2.270 13.716
1.966 1.135 8.721
0.000 0.000 3.727
```

Results
The calculated volume comes out at 22.29 A^3/atom. For the energy above the lowest structure with this stoichiometry, the calculation gives 0.41 eV per formula unit. For the density of states at the Fermi level, the calculation gives 0.6017 states/eV per atom. For the formation energy, the calculation gives 7.62 kcal/mol of atoms.

(4)
First-principles (PBE-GGA) data for LaFeRe2 after structural relaxation, as listed in Alexandria.

The structure in POSCAR format:
```
LaFeRe2
1.0
4.616 0.000 0.000
2.308 3.998 0.000
2.308 1.333 3.769
Re Fe La
2 1 1
Cartesian
2.308 1.333 0.942
0.000 0.000 0.000
4.616 2.665 1.885
6.924 3.998 2.827
```

Results
The calculated volume comes out at 17.39 A^3/atom. For the energy above the lowest structure with this stoichiometry, the calculation gives 1.36 eV per formula unit. For the density of states at the Fermi level, the calculation gives 0.7875 states/eV per atom. For the formation energy, the calculation gives 13.21 kcal/mol of atoms.

(5)
First-principles (PBE-GGA) data for LaFeRe2 after structural relaxation, as listed in Alexandria.

The structure in POSCAR format:
```
LaFeRe2
1.0
3.122 0.046 0.000
-0.046 3.122 0.000
0.000 0.000 7.508
Re Fe La
2 1 1
Cartesian
1.538 1.584 1.886
0.000 0.000 0.473
0.000 0.000 3.297
1.538 1.584 5.607
```

Results
The calculated volume comes out at 18.30 A^3/atom. For the energy above the lowest structure with this stoichiometry, the calculation gives 0.23 eV per formula unit. For the density of states at the Fermi level, the calculation gives 1.0581 states/eV per atom. For the formation energy, the calculation gives 6.68 kcal/mol of atoms.

(6)
First-principles (PBE-GGA) data for LaFe2Re after structural relaxation, as listed in Alexandria.

The structure in POSCAR format:
```
LaFe2Re
1.0
0.000 3.216 3.216
3.216 0.000 3.216
3.216 3.216 0.000
Fe Re La
2 1 1
Cartesian
1.608 1.608 1.608
4.824 4.824 4.824
3.216 3.216 3.216
0.000 0.000 0.000
```

Results
The calculated volume comes out at 16.64 A^3/atom. For the energy above the lowest structure with this stoichiometry, the calculation gives 1.81 eV per formula unit. For the density of states at the Fermi level, the calculation gives 1.6966 states/eV per atom. For the formation energy, the calculation gives 13.91 kcal/mol of atoms.